[1]
Here is crystalline K2CaPu3O12 at its relaxed geometry from Alexandria. Energies are from PBE.

The space group is R-3m (No. 166, hexagonal axes) and the conventional cell measures 8.0305, 8.0305 and 17.9600 Å, with angles of 90.00, 90.00 and 120.00 degrees. Symmetry generates all atoms from K at (0.0000, 0.0000, 0.1424), Ca at (0.0000, 0.0000, 0.5000), Pu at (0.0000, 0.5000, 0.0000), O at (0.0334, 0.5167, 0.1041) and O at (0.0828, 0.5414, 0.3446).

The raw formation energy is -2.424 eV per atom. Its crystal system is trigonal.

=====

[2]
Here is crystalline K2CaPuO6 at its relaxed geometry from Alexandria. Energies are from PBE.

The space group is Fm-3m (No. 225) and the conventional cell measures 8.639, 8.639 and 8.639 Å, with angles of 90.00, 90.00 and 90.00 degrees. Symmetry generates all atoms from K at (0.250, 0.250, 0.250), Ca at (0.000, 0.000, 0.000), Pu at (0.000, 0.000, 0.500) and O at (0.000, 0.000, 0.271).

The raw formation energy is -2.268 eV per atom. Its crystal system is cubic.